Entry 1:
Below is crystalline LaNiAg2 at its relaxed geometry, with properties calculated at the PBE-GGA level.

Structure (CIF):
```
data_LaNiAg2
_chemical_formula_sum 'La1 Ni1 Ag2'
_space_group_name_H-M_alt 'P 4/m m m'
_space_group_IT_number 123
_space_group_name_Hall '-P 4 2'
_cell_length_a 4.027
_cell_length_b 4.027
_cell_length_c 5.163
_cell_angle_alpha 90.00
_cell_angle_beta 90.00
_cell_angle_gamma 90.00
loop_
_atom_site_label
_atom_site_fract_x
_atom_site_fract_y
_atom_site_fract_z
La1 0.000 0.000 0.000
Ni1 0.500 0.500 0.000
Ag1 0.000 0.500 0.500
```

## Properties
Theoretical density in g cm⁻³: 8.20
VASP energy in eV per atom: -4.126

***

Entry 2:
Below is crystalline LiNdPd at its relaxed geometry, with properties calculated at the PBE-GGA level.

Structure (CIF):
```
data_LiNdPd
_chemical_formula_sum 'Li2 Nd2 Pd2'
_space_group_name_H-M_alt 'I 4 m m'
_space_group_IT_number 107
_space_group_name_Hall 'I 4 -2'
_cell_length_a 3.640
_cell_length_b 3.640
_cell_length_c 9.722
_cell_angle_alpha 90.00
_cell_angle_beta 90.00
_cell_angle_gamma 90.00
loop_
_atom_site_label
_atom_site_fract_x
_atom_site_fract_y
_atom_site_fract_z
Li1 0.000 0.000 0.000
Nd1 0.000 0.000 0.294
Pd1 0.000 0.000 0.628
```

## Properties
Theoretical density in g cm⁻³: 6.64
VASP energy in eV per atom: -4.359

***

Entry 3:
Below is crystalline Pm4Sm3In at its relaxed geometry, with properties calculated at the PBE-GGA level.

Structure (CIF):
```
data_Pm4Sm3In
_chemical_formula_sum 'Pm8 Sm6 In2'
_space_group_name_H-M_alt 'P m n 21'
_space_group_IT_number 31
_cell_length_a 11.570
_cell_length_b 6.276
_cell_length_c 7.105
_cell_angle_alpha 90.00
_cell_angle_beta 90.00
_cell_angle_gamma 90.00
loop_
_space_group_symop_operation_xyz
'x,y,z'
'-x+1/2,-y,z+1/2'
'-x,y,z'
'x+1/2,-y,z+1/2'
loop_
_atom_site_label
_atom_site_fract_x
_atom_site_fract_y
_atom_site_fract_z
Pm1 0.000 0.165 0.000
Pm2 0.000 0.685 0.748
Pm3 0.241 0.978 0.249
Sm1 0.000 0.167 0.498
Sm2 0.250 0.500 0.499
In1 0.000 0.653 0.250
```

## Properties
Theoretical density in g cm⁻³: 7.38
VASP energy in eV per atom: -4.579

***

Entry 4:
Below is crystalline Ac2ErTe2O2 at its relaxed geometry, with properties calculated at the PBE-GGA level.

Structure (CIF):
```
data_Ac2ErTe2O2
_chemical_formula_sum 'Ac4 Er2 Te4 O4'
_space_group_name_H-M_alt 'I 4/m m m'
_space_group_IT_number 139
_space_group_name_Hall '-I 4 2'
_cell_length_a 4.491
_cell_length_b 4.491
_cell_length_c 17.213
_cell_angle_alpha 90.00
_cell_angle_beta 90.00
_cell_angle_gamma 90.00
loop_
_atom_site_label
_atom_site_fract_x
_atom_site_fract_y
_atom_site_fract_z
Ac1 0.000 0.000 0.113
Er1 0.000 0.000 0.500
Te1 0.000 0.000 0.321
O1 0.000 0.500 0.000
```

## Properties
Theoretical density in g cm⁻³: 8.69
Formation energy (no corrections) in eV/atom: -2.298

***

Entry 5:
Below is crystalline Hf6Tl2Mo at its relaxed geometry, with properties calculated at the PBE-GGA level.

Structure (CIF):
```
data_Hf6Tl2Mo
_chemical_formula_sum 'Hf12 Tl4 Mo2'
_space_group_name_H-M_alt 'C 1 2/m 1'
_space_group_IT_number 12
_cell_length_a 8.181
_cell_length_b 14.170
_cell_length_c 4.767
_cell_angle_alpha 90.00
_cell_angle_beta 125.59
_cell_angle_gamma 90.00
loop_
_space_group_symop_operation_xyz
'x,y,z'
'-x,-y,-z'
'-x,y,-z'
'x,-y,z'
'x+1/2,y+1/2,z'
'-x+1/2,-y+1/2,-z'
'-x+1/2,y+1/2,-z'
'x+1/2,-y+1/2,z'
loop_
_atom_site_label
_atom_site_fract_x
_atom_site_fract_y
_atom_site_fract_z
Hf1 0.232 0.000 0.232
Hf2 0.241 0.152 0.741
Tl1 0.000 0.327 0.500
Mo1 0.000 0.000 0.500
```

## Properties
Theoretical density in g cm⁻³: 11.64
VASP energy in eV per atom: -7.942

***

Entry 6:
Below is crystalline GePb5Au4 at its relaxed geometry, with properties calculated at the PBE-GGA level.

Structure (CIF):
```
data_GePb5Au4
_chemical_formula_sum 'Ge2 Pb10 Au8'
_space_group_name_H-M_alt 'C 1 2/m 1'
_space_group_IT_number 12
_cell_length_a 16.840
_cell_length_b 4.310
_cell_length_c 7.593
_cell_angle_alpha 90.00
_cell_angle_beta 106.90
_cell_angle_gamma 90.00
loop_
_space_group_symop_operation_xyz
'x,y,z'
'-x,-y,-z'
'-x,y,-z'
'x,-y,z'
'x+1/2,y+1/2,z'
'-x+1/2,-y+1/2,-z'
'-x+1/2,y+1/2,-z'
'x+1/2,-y+1/2,z'
loop_
_atom_site_label
_atom_site_fract_x
_atom_site_fract_y
_atom_site_fract_z
Ge1 0.000 0.000 0.000
Pb1 0.000 0.000 0.500
Pb2 0.175 0.500 0.051
Pb3 0.176 0.500 0.579
Au1 0.008 0.500 0.788
Au2 0.137 0.000 0.291
```

## Properties
Theoretical density in g cm⁻³: 11.94
VASP energy in eV per atom: -3.645

***

Q: The lowest theoretical density belongs to which entry?
A: LiNdPd

***

Q: Which of these has the highest theoretical density?
A: GePb5Au4

***

Q: Look up the theoretical density of the first one.
A: 8.20 g cm⁻³

***

Q: The lowest theoretical density belongs to which entry?
A: LiNdPd